1.
CoNiIr2 after structural relaxation. Source: Alexandria via LeMat-Bulk, functional PBE-GGA.

Its raw total energy is -7.415 eV per atom.

The space group is P2/m (No. 10) and the conventional cell measures 2.646, 4.380 and 4.627 Å, with angles of 90.00, 91.01 and 90.00 degrees. The inequivalent atoms are Co at (0.000, 0.000, 0.000), Ni at (0.500, 0.000, 0.500) and Ir at (0.252, 0.500, 0.748).

2.
LaMn3Se after structural relaxation. Source: Alexandria via LeMat-Bulk, functional PBE-GGA.

Its raw total energy is -5.161 eV per atom. For the formation energy without anion corrections, the calculation gives 2023 meV/atom.

The space group is Pm-3m (No. 221) and the conventional cell measures 4.554, 4.554 and 4.554 Å, with angles of 90.00, 90.00 and 90.00 degrees. The inequivalent atoms are La at (0.000, 0.000, 0.000), Mn at (0.000, 0.000, 0.500) and Se at (0.500, 0.500, 0.500).

3.
Tb2PrAl3 after structural relaxation. Source: Alexandria via LeMat-Bulk, functional PBE-GGA.

Its raw total energy is -4.358 eV per atom.

The space group is Cmmm (No. 65) and the conventional cell measures 6.008, 10.460 and 5.057 Å, with angles of 90.00, 90.00 and 90.00 degrees. The inequivalent atoms are Tb at (0.000, 0.166, 0.000), Pr at (0.000, 0.500, 0.000), Al at (0.000, 0.000, 0.500) and Al at (0.250, 0.250, 0.500).

4.
LiNd2Al4Au3 after structural relaxation. Source: Alexandria via LeMat-Bulk, functional PBE-GGA.

Its raw total energy is -4.275 eV per atom.

The space group is P-4m2 (No. 115) and the conventional cell measures 4.376, 4.376 and 10.652 Å, with angles of 90.00, 90.00 and 90.00 degrees. The inequivalent atoms are Li at (0.000, 0.000, 0.000), Nd at (0.000, 0.500, 0.750), Al at (0.000, 0.000, 0.500), Al at (0.000, 0.500, 0.132), Al at (0.500, 0.500, 0.500), Au at (0.000, 0.500, 0.368) and Au at (0.500, 0.500, 0.000).

5.
NaLaTeI2 after structural relaxation. Source: Alexandria via LeMat-Bulk, functional PBE-GGA.

Its raw total energy is -3.632 eV per atom. For the formation energy without anion corrections, the calculation gives -1134 meV/atom.

The space group is P4/mmm (No. 123) and the conventional cell measures 6.344, 6.344 and 6.171 Å, with angles of 90.00, 90.00 and 90.00 degrees. The inequivalent atoms are Na at (0.000, 0.000, 0.000), La at (0.500, 0.500, 0.500), Te at (0.500, 0.500, 0.000) and I at (0.000, 0.500, 0.500).

6.
Dy3YTl3Te8 after structural relaxation. Source: Alexandria via LeMat-Bulk, functional PBE-GGA.

Its raw total energy is -4.558 eV per atom. For the formation energy without anion corrections, the calculation gives -1057 meV/atom.

The space group is C2/m (No. 12) and the conventional cell measures 15.236, 8.781 and 9.634 Å, with angles of 90.00, 121.86 and 90.00 degrees. The inequivalent atoms are Dy at (0.000, 0.000, 0.000), Dy at (0.250, 0.250, 0.000), Y at (0.000, 0.500, 0.000), Tl at (0.000, 0.500, 0.500), Tl at (0.250, 0.250, 0.500), Te at (0.012, 0.248, 0.785), Te at (0.239, 0.000, 0.216) and Te at (0.239, 0.500, 0.215).

7.
DyAlO3 after structural relaxation. Source: Alexandria via LeMat-Bulk, functional PBE-GGA.

Its raw total energy is -7.975 eV per atom. For the formation energy without anion corrections, the calculation gives -3331 meV/atom.

The space group is Pnma (No. 62) and the conventional cell measures 5.375, 7.441 and 5.216 Å, with angles of 90.00, 90.00 and 90.00 degrees. The inequivalent atoms are Dy at (0.055, 0.250, 0.013), Al at (0.000, 0.000, 0.500), O at (0.023, 0.750, 0.413) and O at (0.206, 0.546, 0.794).

8.
TaBi2Au2 after structural relaxation. Source: Alexandria via LeMat-Bulk, functional PBE-GGA.

Its raw total energy is -4.833 eV per atom.

The space group is P4/mbm (No. 127) and the conventional cell measures 7.443, 7.443 and 4.208 Å, with angles of 90.00, 90.00 and 90.00 degrees. The inequivalent atoms are Ta at (0.000, 0.000, 0.000), Bi at (0.177, 0.323, 0.500) and Au at (0.133, 0.633, 0.000).

9.
V4Ru3Rh2 after structural relaxation. Source: Alexandria via LeMat-Bulk, functional PBE-GGA.

Its raw total energy is -8.994 eV per atom.

The space group is P-3m1 (No. 164) and the conventional cell measures 4.2549, 4.2549 and 7.9976 Å, with angles of 90.00, 90.00 and 120.00 degrees. The inequivalent atoms are V at (0.0000, 0.0000, 0.1489), V at (0.3333, 0.6667, 0.6118), Ru at (0.0000, 0.0000, 0.5000), Ru at (0.3333, 0.6667, 0.9099) and Rh at (0.3333, 0.6667, 0.2895).

10.
Be2ZnSi after structural relaxation. Source: Alexandria via LeMat-Bulk, functional PBE-GGA.

Its raw total energy is -3.205 eV per atom. For the formation energy without anion corrections, the calculation gives 332 meV/atom.

The space group is Pmmm (No. 47) and the conventional cell measures 2.453, 2.642 and 7.077 Å, with angles of 90.00, 90.00 and 90.00 degrees. The inequivalent atoms are Be at (0.000, 0.000, 0.248), Zn at (0.500, 0.500, 0.000) and Si at (0.500, 0.500, 0.500).

11.
Nd3AlZn8 after structural relaxation. Source: Alexandria via LeMat-Bulk, functional PBE-GGA.

Its raw total energy is -2.584 eV per atom.

The space group is R3m (No. 160, hexagonal axes) and the conventional cell measures 5.5659, 5.5659 and 26.5286 Å, with angles of 90.00, 90.00 and 120.00 degrees. The inequivalent atoms are Nd at (0.0000, 0.0000, 0.0000), Nd at (0.0000, 0.0000, 0.1263), Nd at (0.0000, 0.0000, 0.5132), Al at (0.0000, 0.0000, 0.6375), Zn at (0.0000, 0.0000, 0.3173), Zn at (0.0000, 0.0000, 0.8145), Zn at (0.0014, 0.5007, 0.0652) and Zn at (0.0019, 0.5009, 0.5666).

12.
CaMgSc2Cd4 after structural relaxation. Source: Alexandria via LeMat-Bulk, functional PBE-GGA.

Its raw total energy is -2.735 eV per atom.

The space group is R-3m (No. 166, hexagonal axes) and the conventional cell measures 5.0636, 5.0636 and 25.0179 Å, with angles of 90.00, 90.00 and 120.00 degrees. The inequivalent atoms are Ca at (0.0000, 0.0000, 0.0000), Mg at (0.0000, 0.0000, 0.5000), Sc at (0.0000, 0.0000, 0.2477), Cd at (0.0000, 0.0000, 0.1264) and Cd at (0.0000, 0.0000, 0.3783).

- raw total energy of number 5 (NaLaTeI2)?
  -3.632 eV per atom